# 1
{"formula": "ReNiSe2", "functional": "GGA-PBE", "state": "relaxed", "lattice_angstrom": [[1.590, 0.918, 8.040], [-1.590, 0.918, 8.040], [0.000, -1.836, 8.040]], "species": ["Re", "Ni", "Se", "Se"], "frac_coords": [[0.000, 0.000, 0.000], [0.500, 0.500, 0.500], [0.407, 0.407, 0.407], [0.593, 0.593, 0.593]], "magmom_total_mub_per_cell": 0.00, "de_polymorph_ev_per_atom": 0.214}

# 2
{"formula": "ReNi2Se6", "functional": "GGA-PBE", "state": "relaxed", "lattice_angstrom": [[5.047, 0.000, 0.000], [0.000, 6.328, 0.000], [0.000, 0.000, 10.689]], "species": ["Re", "Re", "Ni", "Ni", "Ni", "Ni", "Se", "Se", "Se", "Se", "Se", "Se", "Se", "Se", "Se", "Se", "Se", "Se"], "frac_coords": [[0.000, 0.000, 0.000], [0.500, 0.500, 0.500], [0.000, 0.500, 0.176], [0.000, 0.500, 0.824], [0.500, 0.000, 0.324], [0.500, 0.000, 0.676], [0.227, 0.314, 0.341], [0.227, 0.314, 0.659], [0.244, 0.834, 0.500], [0.256, 0.334, 0.000], [0.273, 0.814, 0.159], [0.273, 0.814, 0.841], [0.727, 0.186, 0.159], [0.727, 0.186, 0.841], [0.744, 0.666, 0.000], [0.756, 0.166, 0.500], [0.773, 0.686, 0.341], [0.773, 0.686, 0.659]], "magmom_total_mub_per_cell": 0.00, "energy_ev_per_atom": -5.13}